Entry from the Alexandria database: a geometry-optimized Na2HgGeCl6 structure (PBE).

Cell: 6.960 6.966 7.446 Å, 62.13 89.97 60.06°
Sites, in units of the cell vectors:
Na  0.000  0.000  0.000
Na  0.498  0.004  0.493
Hg  0.209  0.584  0.624
Ge  0.704  0.593  0.110
Cl  0.065  0.505  0.308
Cl  0.302  0.785  0.801
Cl  0.429  0.757  0.308
Cl  0.586  0.113  0.801
Cl  0.813  0.122  0.308
Cl  0.913  0.501  0.800

Values from the calculation:
**Formation energy (no corrections)**: -1.115 eV per atom
**Symmetry**: P1, No. 1
**Crystal system**: triclinic
**Magnetic moment**: 0.000 Bohr magnetons per cell

Entry from the Alexandria database: a geometry-optimized Ni2TeMo structure (PBE).

Cell: 3.193 3.535 5.380 Å, 90.00 90.16 90.00°
Sites, in units of the cell vectors:
Ni  0.002  0.000  0.228
Ni  0.998  0.000  0.772
Te  0.500  0.500  0.500
Mo  0.500  0.500  0.000

Values from the calculation:
**Formation energy (no corrections)**: 0.250 eV per atom
**Symmetry**: P2/m, No. 10
**Crystal system**: monoclinic
**Magnetic moment**: 0.002 Bohr magnetons per cell

Entry from the Alexandria database: a geometry-optimized K2RhO3 structure (PBE).

Cell: 6.115 6.115 5.998 Å, 90.00 90.00 68.38°
Sites, in units of the cell vectors:
K  0.034  0.308  0.250
K  0.308  0.034  0.750
K  0.692  0.966  0.250
K  0.966  0.692  0.750
Rh  0.448  0.552  0.250
Rh  0.552  0.448  0.750
O  0.169  0.831  0.250
O  0.371  0.371  0.000
O  0.371  0.371  0.500
O  0.629  0.629  0.000
O  0.629  0.629  0.500
O  0.831  0.169  0.750

Values from the calculation:
**Formation energy (no corrections)**: -1.024 eV per atom
**Symmetry**: Cmcm, No. 63
**Crystal system**: orthorhombic
**Magnetic moment**: 2.057 Bohr magnetons per cell

Entry from the Alexandria database: a geometry-optimized KTiRhSe3 structure (PBE).

Cell: 8.553 3.747 9.705 Å, 90.00 112.03 90.00°
Sites, in units of the cell vectors:
K  0.229  0.250  0.255
K  0.771  0.750  0.745
Ti  0.310  0.750  0.836
Ti  0.690  0.250  0.164
Rh  0.091  0.250  0.599
Rh  0.909  0.750  0.401
Se  0.118  0.250  0.865
Se  0.250  0.750  0.560
Se  0.462  0.750  0.134
Se  0.538  0.250  0.866
Se  0.750  0.250  0.440
Se  0.882  0.750  0.135

Values from the calculation:
**Formation energy (no corrections)**: -0.943 eV per atom
**Symmetry**: P2_1/m, No. 11
**Crystal system**: monoclinic
**Magnetic moment**: 0.000 Bohr magnetons per cell

Entry from the Alexandria database: a geometry-optimized FeIr2I2 structure (PBE).

Cell: 5.400 5.400 5.400 Å, 120.01 120.01 89.98°
Sites, in units of the cell vectors:
Fe  0.000  0.000  0.000
Ir  0.321  0.321  0.000
Ir  0.679  0.679  0.000
I  0.250  0.750  0.500
I  0.750  0.250  0.500

Values from the calculation:
**Formation energy (no corrections)**: 0.989 eV per atom
**Symmetry**: I4/mmm, No. 139
**Crystal system**: tetragonal
**Energy above the lowest structure with this stoichiometry**: 82 meV/atom
**Magnetic moment**: 3.996 Bohr magnetons per cell

Entry from the Alexandria database: a geometry-optimized Ac3Y structure (PBE).

Cell: 5.495 5.495 5.495 Å, 90.00 90.00 90.00°
Sites, in units of the cell vectors:
Ac  0.000  0.000  0.500
Ac  0.000  0.500  0.000
Ac  0.500  0.000  0.000
Y  0.500  0.500  0.500

Values from the calculation:
**Energy of formation from the pure elements**: 28 meV per atom
**Symmetry**: Pm-3m, No. 221
**Crystal system**: cubic
**Magnetic moment**: 0.000 Bohr magnetons per cell

Entry from the Alexandria database: a geometry-optimized DyGa5Ni3 structure (PBE).

Cell: 6.466 6.466 12.261 Å, 90.00 90.00 144.99°
Sites, in units of the cell vectors:
Dy  0.167  0.833  0.750
Dy  0.833  0.167  0.250
Ga  0.000  0.000  0.000
Ga  0.000  0.000  0.500
Ga  0.206  0.794  0.066
Ga  0.206  0.794  0.434
Ga  0.444  0.556  0.652
Ga  0.444  0.556  0.848
Ga  0.556  0.444  0.152
Ga  0.556  0.444  0.348
Ga  0.794  0.206  0.566
Ga  0.794  0.206  0.934
Ni  0.136  0.864  0.250
Ni  0.394  0.606  0.041
Ni  0.394  0.606  0.459
Ni  0.606  0.394  0.541
Ni  0.606  0.394  0.959
Ni  0.864  0.136  0.750

Values from the calculation:
**Energy of formation from the pure elements**: -378 meV per atom
**Symmetry**: Cmcm, No. 63
**Crystal system**: orthorhombic
**Magnetic moment**: 0.000 Bohr magnetons per cell

Entry from the Alexandria database: a geometry-optimized YBe2Ru structure (PBE).

Cell: 4.415 4.415 4.415 Å, 60.00 60.00 60.00°
Sites, in units of the cell vectors:
Y  0.000  0.000  0.000
Be  0.250  0.250  0.250
Be  0.500  0.500  0.500
Ru  0.750  0.750  0.750

Values from the calculation:
**Energy of formation from the pure elements**: 258 meV per atom
**Symmetry**: F-43m, No. 216
**Crystal system**: cubic
**Energy above the lowest structure with this stoichiometry**: 509 meV/atom
**Magnetic moment**: 0.000 Bohr magnetons per cell

Question: Look up the magnetic moment of the second one.
Answer: 0.002 Bohr magnetons per cell